A plane-wave DFT calculation with PBE was carried out for crystalline KNaAgIr2 at its relaxed geometry.

Summary:
**E_tot**: -3.361 eV/atom

Cell: 5.012 5.012 5.290 Å, 90.00 90.00 90.00°
Space group P4/mmm (No. 123)
Asymmetric unit:
K 0.000 0.000 0.000 (multiplicity 1)
Na 0.500 0.500 0.000 (multiplicity 1)
Ag 0.500 0.500 0.500 (multiplicity 1)
Ir 0.000 0.500 0.500 (multiplicity 2)


A plane-wave DFT calculation with PBE was carried out for crystalline Pm11Tm9Th4 at its relaxed geometry.

Summary:
**E_tot**: -4.975 eV/atom

Cell: 16.890 25.498 3.696 Å, 90.00 90.00 90.00°
Space group Cmmm (No. 65)
Asymmetric unit:
Pm 0.000 0.000 0.000 (multiplicity 2)
Pm 0.000 0.159 0.000 (multiplicity 4)
Pm 0.000 0.366 0.000 (multiplicity 4)
Pm 0.212 0.500 0.000 (multiplicity 4)
Pm 0.227 0.181 0.000 (multiplicity 8)
Tm 0.000 0.500 0.500 (multiplicity 2)
Tm 0.101 0.264 0.500 (multiplicity 8)
Tm 0.138 0.073 0.500 (multiplicity 8)
Th 0.156 0.399 0.500 (multiplicity 8)


A plane-wave DFT calculation with PBE was carried out for crystalline Pm3Cd2Ge3 at its relaxed geometry.

Summary:
**Relative energy among the computed polymorphs**: 0.0 meV/atom

Cell: 8.7915 8.7915 6.1476 Å, 90.00 90.00 120.00°
Space group P6_3/mcm (No. 193)
Asymmetric unit:
Pm 0.0000 0.3094 0.2500 (multiplicity 6)
Cd 0.3333 0.6667 0.0000 (multiplicity 4)
Ge 0.0000 0.3554 0.7500 (multiplicity 6)


A plane-wave DFT calculation with PBE was carried out for crystalline Mn8Nb3Tc at its relaxed geometry.

Summary:
**E_tot**: -9.621 eV/atom

Cell: 4.7716 4.7716 7.8468 Å, 90.00 90.00 120.00°
Space group P3m1 (No. 156)
Asymmetric unit:
Mn 0.0000 0.0000 0.0000 (multiplicity 1)
Mn 0.0000 0.0000 0.4989 (multiplicity 1)
Mn 0.1716 0.3431 0.7502 (multiplicity 3)
Mn 0.3439 0.1719 0.2570 (multiplicity 3)
Nb 0.3333 0.6667 0.0671 (multiplicity 1)
Nb 0.3333 0.6667 0.4457 (multiplicity 1)
Nb 0.6667 0.3333 0.9403 (multiplicity 1)
Tc 0.6667 0.3333 0.5758 (multiplicity 1)


A plane-wave DFT calculation with PBE was carried out for crystalline ScI2BrN at its relaxed geometry.

Summary:
**Formation energy from raw total energies**: 0.923 eV/atom
**Relative energy among the computed polymorphs**: 908.9 meV/atom

Cell: 6.339 6.339 3.719 Å, 90.00 90.00 90.00°
Space group P4/mmm (No. 123)
Asymmetric unit:
Sc 0.000 0.000 0.000 (multiplicity 1)
I 0.000 0.500 0.500 (multiplicity 2)
Br 0.500 0.500 0.500 (multiplicity 1)
N 0.500 0.500 0.000 (multiplicity 1)


A plane-wave DFT calculation with PBE was carried out for crystalline PmErRe4 at its relaxed geometry.

Summary:
**E_tot**: -9.953 eV/atom

Cell: 7.700 7.700 7.700 Å, 90.00 90.00 90.00°
Space group F-43m (No. 216)
Asymmetric unit:
Pm 0.000 0.000 0.000 (multiplicity 4)
Er 0.250 0.250 0.750 (multiplicity 4)
Re 0.125 0.125 0.375 (multiplicity 16)


A plane-wave DFT calculation with PBE was carried out for crystalline AcGa2Au5 at its relaxed geometry.

Summary:
**E_tot**: -3.784 eV/atom

Cell: 4.332 7.284 10.777 Å, 90.00 90.00 90.00°
Space group Immm (No. 71)
Asymmetric unit:
Ac 0.000 0.000 0.000 (multiplicity 2)
Ga 0.000 0.500 0.243 (multiplicity 4)
Au 0.000 0.200 0.363 (multiplicity 8)
Au 0.000 0.500 0.000 (multiplicity 2)


A plane-wave DFT calculation with PBE was carried out for crystalline CaRe3As at its relaxed geometry.

Summary:
**Relative energy among the computed polymorphs**: 0.0 meV/atom

Cell: 4.647 4.647 4.647 Å, 90.00 90.00 90.00°
Space group Pm-3m (No. 221)
Asymmetric unit:
Ca 0.000 0.000 0.000 (multiplicity 1)
Re 0.000 0.500 0.500 (multiplicity 3)
As 0.500 0.500 0.500 (multiplicity 1)


A plane-wave DFT calculation with PBE was carried out for crystalline Pm6Dy2Tm3 at its relaxed geometry.

Summary:
**Relative energy among the computed polymorphs**: 285.9 meV/atom

Cell: 4.750 4.750 33.573 Å, 90.00 90.00 90.00°
Space group I4/mmm (No. 139)
Asymmetric unit:
Pm 0.000 0.000 0.201 (multiplicity 4)
Pm 0.000 0.500 0.121 (multiplicity 8)
Dy 0.000 0.000 0.045 (multiplicity 4)
Tm 0.000 0.000 0.303 (multiplicity 4)
Tm 0.000 0.000 0.500 (multiplicity 2)


A plane-wave DFT calculation with PBE was carried out for crystalline Li2TiNb2 at its relaxed geometry.

Summary:
**Relative energy among the computed polymorphs**: 0.0 meV/atom

Cell: 7.479 7.479 2.825 Å, 90.00 90.00 90.00°
Space group P4/mbm (No. 127)
Asymmetric unit:
Li 0.110 0.390 0.000 (multiplicity 4)
Ti 0.000 0.000 0.000 (multiplicity 2)
Nb 0.188 0.688 0.500 (multiplicity 4)


A plane-wave DFT calculation with PBE was carried out for crystalline La4Ni2Ag at its relaxed geometry.

Summary:
**Relative energy among the computed polymorphs**: 0.0 meV/atom

Cell: 4.471 12.830 13.947 Å, 90.00 90.00 90.00°
Space group Cmcm (No. 63)
Asymmetric unit:
La 0.000 0.000 0.000 (multiplicity 4)
La 0.000 0.267 0.111 (multiplicity 8)
La 0.000 0.438 0.750 (multiplicity 4)
Ni 0.000 0.372 0.559 (multiplicity 8)
Ag 0.000 0.122 0.750 (multiplicity 4)


A plane-wave DFT calculation with PBE was carried out for crystalline TeRhW2 at its relaxed geometry.

Summary:
**Formation energy from raw total energies**: 0.476 eV/atom

Cell: 3.267 4.629 8.900 Å, 90.00 90.00 90.00°
Space group Imm2 (No. 44)
Asymmetric unit:
Te 0.000 0.000 0.000 (multiplicity 2)
Rh 0.000 0.500 0.729 (multiplicity 2)
W 0.000 0.000 0.502 (multiplicity 2)
W 0.000 0.500 0.251 (multiplicity 2)


A plane-wave DFT calculation with PBE was carried out for crystalline Tb6Pr3SmHo2 at its relaxed geometry.

Summary:
**E_tot**: -4.649 eV/atom

Cell: 6.239 10.804 11.910 Å, 90.00 100.05 90.00°
Space group C2/m (No. 12)
Asymmetric unit:
Tb 0.248 0.000 0.246 (multiplicity 4)
Tb 0.249 0.333 0.246 (multiplicity 8)
Pr 0.000 0.000 0.500 (multiplicity 2)
Pr 0.000 0.333 0.500 (multiplicity 4)
Sm 0.000 0.500 0.000 (multiplicity 2)
Ho 0.000 0.167 0.000 (multiplicity 4)


A plane-wave DFT calculation with PBE was carried out for crystalline Fe2Si2Rh at its relaxed geometry.

Summary:
**Formation energy from raw total energies**: 0.060 eV/atom

Cell: 3.439 3.439 10.729 Å, 90.00 90.00 90.00°
Space group I4/mmm (No. 139)
Asymmetric unit:
Fe 0.000 0.000 0.105 (multiplicity 4)
Si 0.000 0.500 0.250 (multiplicity 4)
Rh 0.000 0.000 0.500 (multiplicity 2)


A plane-wave DFT calculation with PBE was carried out for crystalline NaLaDyHg at its relaxed geometry.

Summary:
**E_tot**: -2.852 eV/atom

Cell: 7.761 7.761 7.761 Å, 90.00 90.00 90.00°
Space group F-43m (No. 216)
Asymmetric unit:
Na 0.000 0.000 0.000 (multiplicity 4)
La 0.250 0.250 0.250 (multiplicity 4)
Dy 0.250 0.250 0.750 (multiplicity 4)
Hg 0.000 0.000 0.500 (multiplicity 4)


A plane-wave DFT calculation with PBE was carried out for crystalline Fe3Si at its relaxed geometry.

Summary:
**Formation energy from raw total energies**: -0.239 eV/atom

Cell: 3.033 3.885 7.660 Å, 90.00 90.00 90.00°
Space group Immm (No. 71)
Asymmetric unit:
Fe 0.000 0.000 0.000 (multiplicity 2)
Fe 0.000 0.500 0.250 (multiplicity 4)
Si 0.000 0.000 0.500 (multiplicity 2)


A plane-wave DFT calculation with PBE was carried out for crystalline Dy6In2Tc at its relaxed geometry.

Summary:
**E_tot**: -5.101 eV/atom

Cell: 8.5876 8.5876 3.8905 Å, 90.00 90.00 120.00°
Space group P-62m (No. 189)
Asymmetric unit:
Dy 0.0000 0.3868 0.0000 (multiplicity 3)
Dy 0.0000 0.7576 0.5000 (multiplicity 3)
In 0.3333 0.6667 0.5000 (multiplicity 2)
Tc 0.0000 0.0000 0.0000 (multiplicity 1)


A plane-wave DFT calculation with PBE was carried out for crystalline TeW4Se at its relaxed geometry.

Summary:
**Formation energy from raw total energies**: 1.008 eV/atom

Cell: 7.675 7.675 7.675 Å, 90.00 90.00 90.00°
Space group F-43m (No. 216)
Asymmetric unit:
Te 0.000 0.000 0.000 (multiplicity 4)
W 0.124 0.124 0.624 (multiplicity 16)
Se 0.250 0.250 0.250 (multiplicity 4)


A plane-wave DFT calculation with PBE was carried out for crystalline Th4Rh12Pb at its relaxed geometry.

Summary:
**E_tot**: -7.789 eV/atom

Cell: 8.573 8.573 8.573 Å, 90.00 90.00 90.00°
Space group Im-3m (No. 229)
Asymmetric unit:
Th 0.250 0.250 0.250 (multiplicity 8)
Rh 0.000 0.000 0.307 (multiplicity 12)
Rh 0.000 0.250 0.500 (multiplicity 12)
Pb 0.000 0.000 0.000 (multiplicity 2)


A plane-wave DFT calculation with PBE was carried out for crystalline Tb8TlIn2 at its relaxed geometry.

Summary:
**Relative energy among the computed polymorphs**: 0.0 meV/atom

Cell: 16.391 5.354 8.630 Å, 90.00 121.10 90.00°
Space group C2/m (No. 12)
Asymmetric unit:
Tb 0.065 0.000 0.217 (multiplicity 4)
Tb 0.093 0.500 0.952 (multiplicity 4)
Tb 0.139 0.000 0.684 (multiplicity 4)
Tb 0.181 0.500 0.445 (multiplicity 4)
Tl 0.000 0.500 0.500 (multiplicity 2)
In 0.224 0.000 0.118 (multiplicity 4)